No. 1
## La8Co3CBr4 (PBE)

Data for a relaxed structure of La8Co3CBr4.

## Properties
The energy relative to the elements, uncorrected is -0.8203 eV/atom. The uncorrected energy comes out at -5.61 eV/atom.

Unit cell a=7.8435 b=9.0422 c=8.2773 alpha=116.80 beta=118.28 gamma=90.00
Closest atoms and distances in Å follow each position.
Sites, in units of the cell vectors:
La  0.2351  0.6867  0.9816  1 C 2.60, 1 Co 2.67
La  0.2315  0.6815  0.4630  2 Co 2.66, 1 C 2.90
La  0.2580  0.3044  0.5159  2 Co 2.68
La  0.7465  0.6867  0.9816  1 C 2.60, 1 Co 2.67
La  0.2535  0.3133  0.0184  1 C 2.60, 1 Co 2.67
La  0.7420  0.6956  0.4841  2 Co 2.68
La  0.7685  0.3185  0.5370  2 Co 2.66, 1 C 2.90
La  0.7649  0.3133  0.0184  1 C 2.60, 1 Co 2.67
Co  0.5000  0.5000  0.0000  4 La 2.67
Co  0.5000  0.5000  0.5000  4 La 2.66-2.68
Co  0.0000  0.5000  0.5000  4 La 2.66-2.68
C  0.0000  0.5000  0.0000  6 La 2.60-2.90
Br  0.5000  0.0000  0.0000  6 La 3.42-3.47
Br  0.5000  0.0000  0.5000  6 La 3.33-3.38
Br  0.0000  0.0000  0.0000  6 La 3.33-3.37
Br  0.0000  0.0000  0.5000  6 La 3.33-3.38

=====

No. 2
## Pm3Sm2Er (PBE)

Data for a relaxed structure of Pm3Sm2Er.

## Properties
The value obtained for the energy above the most stable polymorph in this dataset is 0 meV/atom. Its formation energy is -0.0031 eV/atom. The uncorrected energy comes out at -4.71 eV/atom.

Unit cell a=11.7027 b=6.2919 c=6.2919 alpha=120.02 beta=90.00 gamma=90.00
Closest atoms and distances in Å follow each position.
Sites, in units of the cell vectors:
Pm  0.4696  0.1651  0.8347  2 Er 3.59, 4 Sm 3.60-3.61, 6 Pm 3.60-3.65
Pm  0.9696  0.1653  0.8349  2 Er 3.59, 4 Sm 3.60-3.61, 6 Pm 3.60-3.65
Pm  0.4696  0.5002  0.5002  2 Er 3.60, 4 Sm 3.60, 6 Pm 3.62-3.65
Pm  0.9696  0.4998  0.4998  2 Er 3.60, 4 Sm 3.60, 6 Pm 3.62-3.65
Pm  0.9696  0.8349  0.1653  2 Er 3.59, 4 Sm 3.60-3.61, 6 Pm 3.60-3.65
Pm  0.4696  0.8347  0.1651  2 Er 3.59, 4 Sm 3.60-3.61, 6 Pm 3.60-3.65
Sm  0.7197  0.1661  0.5002  6 Pm 3.60-3.61, 3 Sm 3.63-3.64, 3 Er 3.63-3.64
Sm  0.2197  0.4998  0.8339  6 Pm 3.60-3.61, 3 Sm 3.63-3.64, 3 Er 3.63-3.64
Sm  0.2197  0.8339  0.4998  6 Pm 3.60-3.61, 3 Sm 3.63-3.64, 3 Er 3.63-3.64
Sm  0.7197  0.5002  0.1661  6 Pm 3.60-3.61, 3 Sm 3.63-3.64, 3 Er 3.63-3.64
Er  0.7196  0.8328  0.8328  6 Pm 3.59-3.60, 6 Sm 3.63-3.64
Er  0.2196  0.1672  0.1672  6 Pm 3.59-3.60, 6 Sm 3.63-3.64